(1)
A plane-wave DFT calculation with GGA-PBEsol was carried out for crystalline Sc2CdAu at its relaxed geometry.

For the formation energy, the calculation gives -0.446 eV per atom. The calculation puts the electronic total energy at -20.11 eV per cell. As for the crystal system: orthorhombic.

```
data_Sc2CdAu
_space_group_name_H-M_alt 'P 1'
_space_group_IT_number 1
_space_group_name_Hall 'P 1'
_cell_length_a 5.8195
_cell_length_b 5.8195
_cell_length_c 5.8195
_cell_angle_alpha 146.29
_cell_angle_beta 131.63
_cell_angle_gamma 60.25
loop_
_atom_site_label
_atom_site_type_symbol
_atom_site_fract_x
_atom_site_fract_y
_atom_site_fract_z
Sc1 Sc 0.0000 0.0000 0.0000
Sc2 Sc 0.7204 0.2204 0.5000
Cd1 Cd 0.4496 0.4496 0.0000
Au1 Au 0.2215 0.7215 0.5000
```



(2)
A plane-wave DFT calculation with GGA-PBEsol was carried out for crystalline Sc2CdAu at its relaxed geometry.

For the formation energy, the calculation gives -0.438 eV per atom. The calculation puts the electronic total energy at -20.08 eV per cell. As for the crystal system: tetragonal.

```
data_Sc2CdAu
_space_group_name_H-M_alt 'P 1'
_space_group_IT_number 1
_space_group_name_Hall 'P 1'
_cell_length_a 3.5503
_cell_length_b 3.5503
_cell_length_c 6.3783
_cell_angle_alpha 90.00
_cell_angle_beta 90.00
_cell_angle_gamma 90.00
loop_
_atom_site_label
_atom_site_type_symbol
_atom_site_fract_x
_atom_site_fract_y
_atom_site_fract_z
Sc1 Sc 0.0000 0.0000 0.0000
Sc2 Sc 0.5000 0.5000 0.2991
Cd1 Cd 0.5000 0.5000 0.7619
Au1 Au 0.0000 0.0000 0.5081
```



(3)
A plane-wave DFT calculation with GGA-PBEsol was carried out for crystalline ScCd2Au at its relaxed geometry.

For the formation energy, the calculation gives -0.401 eV per atom. The calculation puts the electronic total energy at -14.53 eV per cell. As for the crystal system: tetragonal.

```
data_ScCd2Au
_space_group_name_H-M_alt 'P 1'
_space_group_IT_number 1
_space_group_name_Hall 'P 1'
_cell_length_a 3.4205
_cell_length_b 3.4205
_cell_length_c 6.6849
_cell_angle_alpha 90.00
_cell_angle_beta 90.00
_cell_angle_gamma 90.00
loop_
_atom_site_label
_atom_site_type_symbol
_atom_site_fract_x
_atom_site_fract_y
_atom_site_fract_z
Sc1 Sc 0.0000 0.0000 0.0000
Cd1 Cd 0.0000 0.0000 0.4671
Cd2 Cd 0.5000 0.5000 0.7257
Au1 Au 0.5000 0.5000 0.2104
```



(4)
A plane-wave DFT calculation with GGA-PBEsol was carried out for crystalline ScCd2Au at its relaxed geometry.

For the formation energy, the calculation gives -0.369 eV per atom. The calculation puts the electronic total energy at -14.40 eV per cell. As for the crystal system: monoclinic.

```
data_ScCd2Au
_space_group_name_H-M_alt 'P 1'
_space_group_IT_number 1
_space_group_name_Hall 'P 1'
_cell_length_a 3.1918
_cell_length_b 4.1818
_cell_length_c 6.2118
_cell_angle_alpha 90.00
_cell_angle_beta 104.98
_cell_angle_gamma 90.00
loop_
_atom_site_label
_atom_site_type_symbol
_atom_site_fract_x
_atom_site_fract_y
_atom_site_fract_z
Sc1 Sc 0.0000 0.0000 0.0000
Cd1 Cd 0.3479 0.5000 0.6963
Cd2 Cd 0.7386 0.0000 0.4786
Au1 Au 0.5872 0.5000 0.1733
```



(5)
A plane-wave DFT calculation with GGA-PBEsol was carried out for crystalline Sc2CdAu at its relaxed geometry.

For the formation energy, the calculation gives -0.585 eV per atom. The calculation puts the electronic total energy at -20.67 eV per cell. As for the crystal system: tetragonal.

```
data_Sc2CdAu
_space_group_name_H-M_alt 'P 1'
_space_group_IT_number 1
_space_group_name_Hall 'P 1'
_cell_length_a 3.4027
_cell_length_b 3.4027
_cell_length_c 6.8636
_cell_angle_alpha 90.00
_cell_angle_beta 90.00
_cell_angle_gamma 90.00
loop_
_atom_site_label
_atom_site_type_symbol
_atom_site_fract_x
_atom_site_fract_y
_atom_site_fract_z
Sc1 Sc 0.0000 0.0000 0.2355
Sc2 Sc 0.0000 0.0000 0.7645
Cd1 Cd 0.5000 0.5000 0.5000
Au1 Au 0.5000 0.5000 0.0000
```



(6)
A plane-wave DFT calculation with GGA-PBEsol was carried out for crystalline ScCd2AuSe at its relaxed geometry.

The calculation puts the electronic total energy at -16.77 eV per cell. As for the crystal system: tetragonal. Its energy relative to the elements, uncorrected is 0.03 kcal/mol of atoms.

```
data_ScCd2AuSe
_space_group_name_H-M_alt 'P 1'
_space_group_IT_number 1
_space_group_name_Hall 'P 1'
_cell_length_a 5.0713
_cell_length_b 5.0713
_cell_length_c 5.1385
_cell_angle_alpha 90.00
_cell_angle_beta 90.00
_cell_angle_gamma 90.00
loop_
_atom_site_label
_atom_site_type_symbol
_atom_site_fract_x
_atom_site_fract_y
_atom_site_fract_z
Sc1 Sc 0.0000 0.0000 0.0000
Cd1 Cd 0.0000 0.5000 0.5000
Cd2 Cd 0.5000 0.0000 0.5000
Au1 Au 0.0000 0.0000 0.5000
Se1 Se 0.5000 0.5000 0.0000
```



(7)
A plane-wave DFT calculation with GGA-PBEsol was carried out for crystalline Sc2ZnCdAu at its relaxed geometry.

For the formation energy, the calculation gives 0.157 eV per atom. The calculation puts the electronic total energy at -19.13 eV per cell. As for the crystal system: tetragonal.

```
data_Sc2ZnCdAu
_space_group_name_H-M_alt 'P 1'
_space_group_IT_number 1
_space_group_name_Hall 'P 1'
_cell_length_a 4.9594
_cell_length_b 4.9594
_cell_length_c 4.6236
_cell_angle_alpha 90.00
_cell_angle_beta 90.00
_cell_angle_gamma 90.00
loop_
_atom_site_label
_atom_site_type_symbol
_atom_site_fract_x
_atom_site_fract_y
_atom_site_fract_z
Sc1 Sc 0.0000 0.5000 0.0000
Sc2 Sc 0.5000 0.0000 0.0000
Zn1 Zn 0.0000 0.0000 0.0000
Cd1 Cd 0.5000 0.5000 0.5000
Au1 Au 0.0000 0.0000 0.5000
```



(8)
A plane-wave DFT calculation with GGA-PBEsol was carried out for crystalline CdAuSe2 at its relaxed geometry.

The calculation puts the electronic total energy at -12.48 eV per cell. As for the crystal system: tetragonal. Its energy relative to the elements, uncorrected is 1.99 kcal/mol of atoms.

```
data_CdAuSe2
_space_group_name_H-M_alt 'P 1'
_space_group_IT_number 1
_space_group_name_Hall 'P 1'
_cell_length_a 6.7345
_cell_length_b 6.7345
_cell_length_c 6.7345
_cell_angle_alpha 147.59
_cell_angle_beta 147.59
_cell_angle_gamma 46.50
loop_
_atom_site_label
_atom_site_type_symbol
_atom_site_fract_x
_atom_site_fract_y
_atom_site_fract_z
Cd1 Cd 0.0000 0.0000 0.0000
Au1 Au 0.7500 0.2500 0.5000
Se1 Se 0.2500 0.7500 0.5000
Se2 Se 0.5000 0.5000 0.0000
```



(9)
A plane-wave DFT calculation with GGA-PBEsol was carried out for crystalline CdAuSe at its relaxed geometry.

The calculation puts the electronic total energy at -8.71 eV per cell. As for the crystal system: cubic. Its energy relative to the elements, uncorrected is 1.98 kcal/mol of atoms.

```
data_CdAuSe
_space_group_name_H-M_alt 'P 1'
_space_group_IT_number 1
_space_group_name_Hall 'P 1'
_cell_length_a 4.5655
_cell_length_b 4.5655
_cell_length_c 4.5655
_cell_angle_alpha 60.00
_cell_angle_beta 60.00
_cell_angle_gamma 60.00
loop_
_atom_site_label
_atom_site_type_symbol
_atom_site_fract_x
_atom_site_fract_y
_atom_site_fract_z
Cd1 Cd 0.0000 0.0000 0.0000
Au1 Au 0.7500 0.7500 0.7500
Se1 Se 0.2500 0.2500 0.2500
```



(10)
A plane-wave DFT calculation with GGA-PBEsol was carried out for crystalline Cd2SiAu at its relaxed geometry.

The calculation puts the electronic total energy at -11.09 eV per cell. As for the crystal system: cubic. Its energy relative to the elements, uncorrected is 5.60 kcal/mol of atoms.

```
data_Cd2SiAu
_space_group_name_H-M_alt 'P 1'
_space_group_IT_number 1
_space_group_name_Hall 'P 1'
_cell_length_a 4.7305
_cell_length_b 4.7305
_cell_length_c 4.7305
_cell_angle_alpha 60.00
_cell_angle_beta 60.00
_cell_angle_gamma 60.00
loop_
_atom_site_label
_atom_site_type_symbol
_atom_site_fract_x
_atom_site_fract_y
_atom_site_fract_z
Cd1 Cd 0.0000 0.0000 0.0000
Cd2 Cd 0.2500 0.2500 0.2500
Si1 Si 0.5000 0.5000 0.5000
Au1 Au 0.7500 0.7500 0.7500
```



(11)
A plane-wave DFT calculation with GGA-PBEsol was carried out for crystalline Cd2SiAu at its relaxed geometry.

The calculation puts the electronic total energy at -11.79 eV per cell. As for the crystal system: trigonal. Its energy relative to the elements, uncorrected is 1.57 kcal/mol of atoms.

```
data_Cd2SiAu
_space_group_name_H-M_alt 'P 1'
_space_group_IT_number 1
_space_group_name_Hall 'P 1'
_cell_length_a 8.6494
_cell_length_b 8.6494
_cell_length_c 8.6494
_cell_angle_alpha 21.40
_cell_angle_beta 21.40
_cell_angle_gamma 21.40
loop_
_atom_site_label
_atom_site_type_symbol
_atom_site_fract_x
_atom_site_fract_y
_atom_site_fract_z
Cd1 Cd 0.0000 0.0000 0.0000
Cd2 Cd 0.2406 0.2406 0.2406
Si1 Si 0.7531 0.7531 0.7531
Au1 Au 0.4865 0.4865 0.4865
```



(12)
A plane-wave DFT calculation with GGA-PBEsol was carried out for crystalline Sm2CdAu2 at its relaxed geometry.

For the formation energy, the calculation gives -0.732 eV per atom. The calculation puts the electronic total energy at -45.78 eV per cell. As for the crystal system: tetragonal.

```
data_Sm2CdAu2
_space_group_name_H-M_alt 'P 1'
_space_group_IT_number 1
_space_group_name_Hall 'P 1'
_cell_length_a 7.9029
_cell_length_b 7.9029
_cell_length_c 3.7656
_cell_angle_alpha 90.00
_cell_angle_beta 90.00
_cell_angle_gamma 90.00
loop_
_atom_site_label
_atom_site_type_symbol
_atom_site_fract_x
_atom_site_fract_y
_atom_site_fract_z
Sm1 Sm 0.1713 0.3287 0.0000
Sm2 Sm 0.3287 0.8287 0.0000
Sm3 Sm 0.6713 0.1713 0.0000
Sm4 Sm 0.8287 0.6713 0.0000
Cd1 Cd 0.0000 0.0000 0.5000
Cd2 Cd 0.5000 0.5000 0.5000
Au1 Au 0.1285 0.6285 0.5000
Au2 Au 0.3715 0.1285 0.5000
Au3 Au 0.6285 0.8715 0.5000
Au4 Au 0.8715 0.3715 0.5000
```